[1]
The following is a DFT calculation (PBE) of crystalline Th8Co3PSe4 at its relaxed geometry.

Cell and atoms, written as POSCAR:
```
Th8Co3PSe4
1.0
4.0719 2.3509 7.1274
-4.0719 2.3509 7.1274
0.0000 -4.7018 7.1274
Th Co P Se
8 3 1 4
direct
0.2324 0.7443 0.7443
0.2355 0.2355 0.2355
0.2557 0.2557 0.7676
0.2557 0.7676 0.2557
0.7443 0.2324 0.7443
0.7443 0.7443 0.2324
0.7645 0.7645 0.7645
0.7676 0.2557 0.2557
0.0000 0.0000 0.5000
0.0000 0.5000 0.0000
0.5000 0.0000 0.0000
0.5000 0.5000 0.5000
0.0000 0.0000 0.0000
0.0000 0.5000 0.5000
0.5000 0.0000 0.5000
0.5000 0.5000 0.0000
```

Total magnetic moment, μB per formula unit: 0.0
Uncorrected formation energy, meV/atom: -1075
Fermi-level density of states, states/eV/cell: 15.3
Space-group type: No. 166
Volume, Å³/cell: 409.4

[2]
The following is a DFT calculation (PBE) of crystalline Th6Co2PSe3 at its relaxed geometry.

Cell and atoms, written as POSCAR:
```
Th6Co2PSe3
1.0
9.2499 -1.9963 0.0000
9.2499 1.9963 0.0000
-2.2652 0.0000 8.3432
Th Co P Se
6 2 1 3
direct
0.0077 0.0077 0.2411
0.3256 0.3256 0.4473
0.3350 0.3350 0.8889
0.6650 0.6650 0.1111
0.6744 0.6744 0.5527
0.9923 0.9923 0.7589
0.1668 0.1668 0.3307
0.8332 0.8332 0.6693
0.5000 0.5000 0.0000
0.1623 0.1623 0.8323
0.5000 0.5000 0.5000
0.8377 0.8377 0.1677
```

Total magnetic moment, μB per formula unit: 0.0
Uncorrected formation energy, meV/atom: -1144
Fermi-level density of states, states/eV/cell: 8.8
Space-group type: No. 12
Volume, Å³/cell: 308.1

[3]
The following is a DFT calculation (PBE) of crystalline Th6CoP2Se3 at its relaxed geometry.

Cell and atoms, written as POSCAR:
```
Th6CoP2Se3
1.0
9.2101 -2.0316 0.0000
9.2101 2.0316 0.0000
-2.1503 0.0000 8.2758
Th Co P Se
6 1 2 3
direct
0.0037 0.0037 0.2202
0.3288 0.3288 0.4284
0.3390 0.3390 0.9058
0.6610 0.6610 0.0942
0.6712 0.6712 0.5716
0.9963 0.9963 0.7798
0.5000 0.5000 0.0000
0.1667 0.1667 0.3344
0.8333 0.8333 0.6656
0.1674 0.1674 0.8326
0.5000 0.5000 0.5000
0.8326 0.8326 0.1674
```

Total magnetic moment, μB per formula unit: 0.0
Uncorrected formation energy, meV/atom: -1364
Fermi-level density of states, states/eV/cell: 9.5
Space-group type: No. 12
Volume, Å³/cell: 309.7

Copy entry 1 word for word.
The following is a DFT calculation (PBE) of crystalline Th8Co3PSe4 at its relaxed geometry.

Cell and atoms, written as POSCAR:
```
Th8Co3PSe4
1.0
4.0719 2.3509 7.1274
-4.0719 2.3509 7.1274
0.0000 -4.7018 7.1274
Th Co P Se
8 3 1 4
direct
0.2324 0.7443 0.7443
0.2355 0.2355 0.2355
0.2557 0.2557 0.7676
0.2557 0.7676 0.2557
0.7443 0.2324 0.7443
0.7443 0.7443 0.2324
0.7645 0.7645 0.7645
0.7676 0.2557 0.2557
0.0000 0.0000 0.5000
0.0000 0.5000 0.0000
0.5000 0.0000 0.0000
0.5000 0.5000 0.5000
0.0000 0.0000 0.0000
0.0000 0.5000 0.5000
0.5000 0.0000 0.5000
0.5000 0.5000 0.0000
```

Total magnetic moment, μB per formula unit: 0.0
Uncorrected formation energy, meV/atom: -1075
Fermi-level density of states, states/eV/cell: 15.3
Space-group type: No. 166
Volume, Å³/cell: 409.4

Repeat the third record exactly.
The following is a DFT calculation (PBE) of crystalline Th6CoP2Se3 at its relaxed geometry.

Cell and atoms, written as POSCAR:
```
Th6CoP2Se3
1.0
9.2101 -2.0316 0.0000
9.2101 2.0316 0.0000
-2.1503 0.0000 8.2758
Th Co P Se
6 1 2 3
direct
0.0037 0.0037 0.2202
0.3288 0.3288 0.4284
0.3390 0.3390 0.9058
0.6610 0.6610 0.0942
0.6712 0.6712 0.5716
0.9963 0.9963 0.7798
0.5000 0.5000 0.0000
0.1667 0.1667 0.3344
0.8333 0.8333 0.6656
0.1674 0.1674 0.8326
0.5000 0.5000 0.5000
0.8326 0.8326 0.1674
```

Total magnetic moment, μB per formula unit: 0.0
Uncorrected formation energy, meV/atom: -1364
Fermi-level density of states, states/eV/cell: 9.5
Space-group type: No. 12
Volume, Å³/cell: 309.7